*one*
HoThSc6 | Alexandria via LeMat-Bulk | GGA-PBE | relaxed; total moment = 0.001 μB per atom
1.0
5.356 0.000 0.000
0.000 6.733 -0.218
0.000 -3.176 5.940
Sc Th Ho
6 1 1
Direct
0.000 0.587 0.924
0.500 0.419 0.085
0.500 0.915 0.581
0.500 0.915 0.085
0.000 0.076 0.413
0.000 0.587 0.413
0.000 0.083 0.917
0.500 0.417 0.583

*two*
HoThSc6 | Alexandria via LeMat-Bulk | GGA-PBE | relaxed; total moment = 0.000 μB per atom
1.0
4.688 0.000 0.000
0.000 6.639 -0.754
0.000 0.741 6.640
Ho Sc Th
1 6 1
Direct
0.500 0.500 0.500
0.500 0.500 0.000
0.000 0.752 0.248
0.000 0.248 0.752
0.500 0.000 0.500
0.000 0.752 0.752
0.000 0.248 0.248
0.500 0.000 0.000

Which one sits at the bottom of the stability order? *two* does.

*one*
Ho2Th3Sc2 | Alexandria via LeMat-Bulk | GGA-PBE | relaxed; total moment = 0.000 μB per atom
1.0
-1.107 3.344 -0.126
-7.930 -2.658 -0.878
2.608 -0.718 7.355
Th Ho Sc
3 2 2
Direct
0.000 0.000 0.000
0.284 0.855 0.569
0.716 0.145 0.431
0.431 0.287 0.862
0.569 0.713 0.138
0.853 0.574 0.706
0.147 0.426 0.294

*two*
Ho2Th3Sc2 | Alexandria via LeMat-Bulk | GGA-PBE | relaxed; total moment = 0.000 μB per atom
1.0
-5.118 -5.334 -8.976
-2.221 -0.284 6.705
-3.550 5.027 -0.963
Th Sc Ho
6 4 4
Direct
0.676 0.347 0.484
0.500 0.000 0.000
0.176 0.347 0.016
0.824 0.653 0.984
0.000 0.000 0.500
0.324 0.653 0.516
0.450 0.372 0.793
0.550 0.628 0.207
0.950 0.372 0.707
0.050 0.628 0.293
0.177 0.867 0.836
0.823 0.133 0.164
0.677 0.867 0.664
0.323 0.133 0.336

Which one sits at the bottom of the stability order? *two* does.